[1]
# MgTaZnCo (GGA-PBE, relaxed)
# Calculated volume = 14.83 A^3/atom
# Crystal system = cubic
# Formation energy from the elements = -0.002 eV/atom
# Final energy = -5.4587 eV per atom
# M_tot = 0.000 μB per formula unit
data_MgTaZnCo
_chemical_formula_sum 'Mg4 Ta4 Zn4 Co4'
_symmetry_space_group_name_H-M 'F -4 3 m'
_symmetry_Int_Tables_number 216
_symmetry_space_group_name_Hall 'F -4 2 3'
_cell_length_a 6.190
_cell_length_b 6.190
_cell_length_c 6.190
_cell_angle_alpha 90.00
_cell_angle_beta 90.00
_cell_angle_gamma 90.00
loop_
_atom_site_label
_atom_site_fract_x
_atom_site_fract_y
_atom_site_fract_z
_atom_site_occupancy
Mg1 0.000 0.000 0.000 1
Ta1 0.000 0.000 0.500 1
Zn1 0.250 0.250 0.250 1
Co1 0.250 0.250 0.750 1


[2]
# TbMgCo2 (GGA-PBE, relaxed)
# Calculated volume = 16.28 A^3/atom
# Crystal system = tetragonal
# Formation energy from the elements = 0.081 eV/atom
# Final energy = -5.0285 eV per atom
# M_tot = 0.000 μB per formula unit
data_TbMgCo2
_chemical_formula_sum 'Tb1 Mg1 Co2'
_symmetry_space_group_name_H-M 'P 4/m m m'
_symmetry_Int_Tables_number 123
_symmetry_space_group_name_Hall '-P 4 2'
_cell_length_a 3.239
_cell_length_b 3.239
_cell_length_c 6.208
_cell_angle_alpha 90.00
_cell_angle_beta 90.00
_cell_angle_gamma 90.00
loop_
_atom_site_label
_atom_site_fract_x
_atom_site_fract_y
_atom_site_fract_z
_atom_site_occupancy
Tb1 0.000 0.000 0.000 1
Mg1 0.000 0.000 0.500 1
Co1 0.500 0.500 0.274 1


[3]
# Tb2Mg2Co15 (GGA-PBE, relaxed)
# Calculated volume = 13.21 A^3/atom
# Crystal system = trigonal
# Formation energy from the elements = -0.067 eV/atom
# Final energy = -6.3318 eV per atom
# M_tot = 20.254 μB per formula unit
data_Tb2Mg2Co15
_chemical_formula_sum 'Tb6 Mg6 Co45'
_symmetry_space_group_name_H-M 'R -3 m'
_symmetry_Int_Tables_number 166
_symmetry_space_group_name_Hall '-R 3 2"'
_cell_length_a 8.4380
_cell_length_b 8.4380
_cell_length_c 12.2123
_cell_angle_alpha 90.00
_cell_angle_beta 90.00
_cell_angle_gamma 120.00
loop_
_atom_site_label
_atom_site_fract_x
_atom_site_fract_y
_atom_site_fract_z
_atom_site_occupancy
Tb1 0.0000 0.0000 0.1476 1
Mg1 0.0000 0.0000 0.3944 1
Co1 0.0000 0.2920 0.5000 1
Co2 0.0000 0.5000 0.0000 1
Co3 0.0059 0.5029 0.6508 1


[4]
# TbMgCo (GGA-PBE, relaxed)
# Calculated volume = 21.42 A^3/atom
# Crystal system = orthorhombic
# Formation energy from the elements = -0.166 eV/atom
# Final energy = -4.6096 eV per atom
# M_tot = 0.387 μB per formula unit
data_TbMgCo
_chemical_formula_sum 'Tb4 Mg4 Co4'
_symmetry_space_group_name_H-M 'C m c m'
_symmetry_Int_Tables_number 63
_symmetry_space_group_name_Hall '-C 2c 2'
_cell_length_a 3.919
_cell_length_b 17.124
_cell_length_c 3.830
_cell_angle_alpha 90.00
_cell_angle_beta 90.00
_cell_angle_gamma 90.00
loop_
_atom_site_label
_atom_site_fract_x
_atom_site_fract_y
_atom_site_fract_z
_atom_site_occupancy
Tb1 0.000 0.089 0.250 1
Mg1 0.000 0.298 0.250 1
Co1 0.000 0.464 0.250 1


[5]
# Tb2MgCo (GGA-PBE, relaxed)
# Calculated volume = 22.67 A^3/atom
# Crystal system = cubic
# Formation energy from the elements = 0.003 eV/atom
# Final energy = -4.4876 eV per atom
# M_tot = 0.364 μB per formula unit
# E above lowest polymorph = 125 meV per atom
data_Tb2MgCo
_chemical_formula_sum 'Tb8 Mg4 Co4'
_symmetry_space_group_name_H-M 'F m -3 m'
_symmetry_Int_Tables_number 225
_symmetry_space_group_name_Hall '-F 4 2 3'
_cell_length_a 7.132
_cell_length_b 7.132
_cell_length_c 7.132
_cell_angle_alpha 90.00
_cell_angle_beta 90.00
_cell_angle_gamma 90.00
loop_
_atom_site_label
_atom_site_fract_x
_atom_site_fract_y
_atom_site_fract_z
_atom_site_occupancy
Tb1 0.250 0.250 0.250 1
Mg1 0.000 0.000 0.000 1
Co1 0.000 0.000 0.500 1


[6]
# Tb2Mg3Co2 (GGA-PBE, relaxed)
# Calculated volume = 20.91 A^3/atom
# Crystal system = monoclinic
# Formation energy from the elements = -0.124 eV/atom
# Final energy = -4.1604 eV per atom
# M_tot = 0.605 μB per formula unit
data_Tb2Mg3Co2
_chemical_formula_sum 'Tb4 Mg6 Co4'
_symmetry_space_group_name_H-M 'C 1 2/m 1'
_symmetry_Int_Tables_number 12
_cell_length_a 10.195
_cell_length_b 4.131
_cell_length_c 7.038
_cell_angle_alpha 90.00
_cell_angle_beta 98.99
_cell_angle_gamma 90.00
loop_
_symmetry_equiv_pos_as_xyz
'x,y,z'
'-x,-y,-z'
'-x,y,-z'
'x,-y,z'
'x+1/2,y+1/2,z'
'-x+1/2,-y+1/2,-z'
'-x+1/2,y+1/2,-z'
'x+1/2,-y+1/2,z'
loop_
_atom_site_label
_atom_site_fract_x
_atom_site_fract_y
_atom_site_fract_z
_atom_site_occupancy
Tb1 0.128 0.000 0.368 1
Mg1 0.000 0.500 0.000 1
Mg2 0.182 0.000 0.855 1
Co1 0.075 0.500 0.635 1